No. 1
Here is crystalline MgTlCu at its relaxed geometry from Alexandria. Energies are from PBE.

Space group   P3m1 (156)
ΔH_f (0 K)   151 meV per atom
Calculated density   7.720 g cm⁻³
Total magnetization   0.0 μB per formula unit

Unit cell a=3.2965 b=3.2965 c=6.6796 alpha=90.00 beta=90.00 gamma=120.00
With the nearest neighbours (Å) after each atom.
Positions (direct):
Mg: 0.6667 0.3333 0.2971  3 Cu 2.69
Tl: 0.3333 0.6667 0.6905  3 Cu 2.87
Cu: 0.0000 0.0000 0.0124  3 Mg 2.69, 3 Tl 2.87

No. 2
Here is crystalline Mg6TlCu at its relaxed geometry from Alexandria. Energies are from PBE.

Space group   I4/mmm (139)
ΔH_f (0 K)   20 meV per atom
Calculated density   4.007 g cm⁻³
Total magnetization   0.0 μB per formula unit

Unit cell a=4.5957 b=4.5957 c=8.7454 alpha=74.77 beta=74.77 gamma=90.00
With the nearest neighbours (Å) after each atom.
Positions (direct):
Mg: 0.6142 0.1142 0.7716  2 Cu 2.95, 2 Tl 2.95, 8 Mg 3.17-3.25
Mg: 0.7511 0.7511 0.4978  12 Mg 3.17-3.25
Mg: 0.1142 0.6142 0.7716  2 Tl 2.95, 2 Cu 2.95, 8 Mg 3.17-3.25
Mg: 0.3858 0.8858 0.2284  2 Cu 2.95, 2 Tl 2.95, 8 Mg 3.17-3.25
Mg: 0.8858 0.3858 0.2284  2 Tl 2.95, 2 Cu 2.95, 8 Mg 3.17-3.25
Mg: 0.2489 0.2489 0.5022  12 Mg 3.17-3.25
Cu: 0.0000 0.0000 0.0000  8 Mg 2.95, 4 Tl 3.25
Tl: 0.5000 0.5000 0.0000  8 Mg 2.95, 4 Cu 3.25

No. 3
Here is crystalline MgTl2Cu at its relaxed geometry from Alexandria. Energies are from PBE.

Space group   R-3m (166)
ΔH_f (0 K)   141 meV per atom
Calculated density   8.965 g cm⁻³
Total magnetization   0.0 μB per formula unit

Unit cell a=8.9817 b=8.9817 c=8.9817 alpha=22.36 beta=22.36 gamma=22.36
With the nearest neighbours (Å) after each atom.
Positions (direct):
Cu: 0.7500 0.7500 0.7500  6 Tl 2.80
Tl: 0.4911 0.4911 0.4911  3 Cu 2.80
Tl: 0.0089 0.0089 0.0089  3 Cu 2.80
Mg: 0.2500 0.2500 0.2500  6 Tl 3.15, 6 Mg 3.48

No. 4
Here is crystalline MgTlCu at its relaxed geometry from Alexandria. Energies are from PBE.

Space group   I4mm (107)
ΔH_f (0 K)   90 meV per atom
Calculated density   8.033 g cm⁻³
Total magnetization   0.0 μB per formula unit

Unit cell a=5.9853 b=5.9873 c=3.3116 alpha=73.91 beta=73.91 gamma=32.11
With the nearest neighbours (Å) after each atom.
Positions (direct):
Cu: 0.0106 0.0110 0.9894  4 Mg 2.74-2.75, 4 Tl 2.95
Mg: 0.6411 0.6407 0.3589  4 Cu 2.74-2.75
Tl: 0.3484 0.3483 0.6516  4 Cu 2.95, 5 Mg 3.22-3.27